A relaxed LuScNi2As2 crystal, computed with PBE.

The calculation puts the total magnetization at 0.00 μB/atom. The calculation puts the electronic total energy at -6.2015 eV/atom.

Unit cell a=7.319 b=3.994 c=13.811 alpha=90.00 beta=90.03 gamma=90.00
Element x y z (fractional)
Lu (0.000, 0.000, 0.000)
Lu (0.001, 0.500, 0.250)
Lu (0.502, 0.500, 0.257)
Lu (0.998, 0.500, 0.754)
Sc (0.000, 0.000, 0.505)
Sc (0.498, 0.500, 0.748)
Sc (0.500, 0.000, 0.004)
Sc (0.500, 0.000, 0.501)
Ni (0.261, 0.000, 0.338)
Ni (0.271, 0.500, 0.587)
Ni (0.281, 0.500, 0.084)
Ni (0.294, 0.000, 0.834)
Ni (0.702, 0.000, 0.834)
Ni (0.721, 0.500, 0.084)
Ni (0.725, 0.500, 0.587)
Ni (0.743, 0.000, 0.338)
As (0.243, 0.500, 0.422)
As (0.244, 0.000, 0.668)
As (0.248, 0.000, 0.168)
As (0.250, 0.500, 0.917)
As (0.749, 0.500, 0.917)
As (0.752, 0.000, 0.668)
As (0.755, 0.000, 0.168)
As (0.760, 0.500, 0.422)



A relaxed ScAlZnNi crystal, computed with PBE.

The calculation puts the total magnetization at 0.00 μB/atom. As for the distance to the lowest polymorph of the same formula: 0.155 eV/atom.

Unit cell a=4.396 b=4.396 c=4.396 alpha=60.00 beta=60.00 gamma=60.00
Element x y z (fractional)
Sc (0.000, 0.000, 0.000)
Al (0.750, 0.750, 0.750)
Zn (0.500, 0.500, 0.500)
Ni (0.250, 0.250, 0.250)



A relaxed MgReSiNi crystal, computed with PBE.

The calculation puts the total magnetization at 0.02 μB/atom. The calculation puts the electronic total energy at -5.7298 eV/atom.

Unit cell a=4.261 b=4.261 c=4.261 alpha=60.00 beta=60.00 gamma=60.00
Element x y z (fractional)
Mg (0.000, 0.000, 0.000)
Re (0.750, 0.750, 0.750)
Si (0.250, 0.250, 0.250)
Ni (0.500, 0.500, 0.500)



A relaxed Na2ZnH4O4 crystal, computed with PBE.

The calculation puts the electronic total energy at -4.6644 eV/atom.

Unit cell a=7.677 b=6.293 c=10.826 alpha=90.00 beta=129.73 gamma=90.00
Element x y z (fractional)
Na (0.012, 0.060, 0.284)
Na (0.012, 0.440, 0.784)
Na (0.484, 0.748, 0.494)
Na (0.484, 0.752, 0.994)
Na (0.516, 0.248, 0.006)
Na (0.516, 0.252, 0.506)
Na (0.988, 0.560, 0.216)
Na (0.988, 0.940, 0.716)
Zn (0.184, 0.245, 0.628)
Zn (0.184, 0.255, 0.128)
Zn (0.816, 0.745, 0.872)
Zn (0.816, 0.755, 0.372)
H (0.183, 0.009, 0.972)
H (0.183, 0.491, 0.472)
H (0.215, 0.668, 0.060)
H (0.215, 0.832, 0.560)
H (0.269, 0.612, 0.725)
H (0.269, 0.888, 0.225)
H (0.460, 0.530, 0.260)
H (0.460, 0.970, 0.760)
H (0.540, 0.030, 0.240)
H (0.540, 0.470, 0.740)
H (0.731, 0.112, 0.775)
H (0.731, 0.388, 0.275)
H (0.785, 0.168, 0.440)
H (0.785, 0.332, 0.940)
H (0.817, 0.509, 0.528)
H (0.817, 0.991, 0.028)
O (0.137, 0.733, 0.953)
O (0.137, 0.767, 0.453)
O (0.182, 0.165, 0.955)
O (0.182, 0.335, 0.455)
O (0.325, 0.520, 0.252)
O (0.325, 0.980, 0.752)
O (0.335, 0.019, 0.289)
O (0.335, 0.481, 0.789)
O (0.665, 0.519, 0.211)
O (0.665, 0.981, 0.711)
O (0.675, 0.020, 0.248)
O (0.675, 0.480, 0.748)
O (0.818, 0.665, 0.545)
O (0.818, 0.835, 0.045)
O (0.863, 0.233, 0.547)
O (0.863, 0.267, 0.047)



A relaxed ZrSi2Pt crystal, computed with PBE.

The calculation puts the total magnetization at 0.00 μB/atom. The calculation puts the electronic total energy at -7.0705 eV/atom.

Unit cell a=4.089 b=5.838 c=5.353 alpha=90.00 beta=90.00 gamma=90.00
Element x y z (fractional)
Zr (0.000, 0.089, 0.000)
Zr (0.500, 0.911, 0.500)
Si (0.000, 0.235, 0.496)
Si (0.000, 0.652, 0.275)
Si (0.500, 0.348, 0.775)
Si (0.500, 0.765, 0.996)
Pt (0.000, 0.602, 0.775)
Pt (0.500, 0.398, 0.275)



A relaxed Ho2LuAl3CuGe2 crystal, computed with PBE.

The calculation puts the total magnetization at 0.00 μB/atom. The calculation puts the electronic total energy at -4.8572 eV/atom.

Unit cell a=4.149 b=6.950 c=6.950 alpha=119.90 beta=90.00 gamma=90.00
Element x y z (fractional)
Ho (0.000, 0.202, 0.798)
Ho (0.000, 0.798, 0.202)
Lu (0.000, 0.605, 0.605)
Al (0.500, 0.203, 0.435)
Al (0.500, 0.435, 0.203)
Al (0.500, 0.969, 0.969)
Cu (0.000, 0.205, 0.205)
Ge (0.500, 0.536, 0.866)
Ge (0.500, 0.866, 0.536)



A relaxed Sm2Br2NCl crystal, computed with PBE.

The calculation puts the total magnetization at 0.00 μB/atom. As for the distance to the lowest polymorph of the same formula: 0.002 eV/atom.

Unit cell a=9.028 b=9.028 c=11.509 alpha=122.24 beta=122.24 gamma=25.45
Element x y z (fractional)
Sm (0.079, 0.079, 0.455)
Sm (0.362, 0.362, 0.215)
Sm (0.638, 0.638, 0.785)
Sm (0.921, 0.921, 0.545)
Br (0.161, 0.161, 0.008)
Br (0.275, 0.275, 0.382)
Br (0.725, 0.725, 0.618)
Br (0.839, 0.839, 0.992)
N (0.076, 0.076, 0.652)
N (0.924, 0.924, 0.348)
Cl (0.462, 0.462, 0.742)
Cl (0.538, 0.538, 0.258)



A relaxed InReAsO crystal, computed with PBE.

The calculation puts the total magnetization at 0.00 μB/atom. As for the distance to the lowest polymorph of the same formula: 0.161 eV/atom.

Unit cell a=3.779 b=8.086 c=5.068 alpha=90.00 beta=90.00 gamma=90.00
Element x y z (fractional)
In (0.000, 0.095, 0.000)
In (0.000, 0.905, 0.500)
Re (0.500, 0.320, 0.386)
Re (0.500, 0.680, 0.886)
As (0.500, 0.371, 0.882)
As (0.500, 0.629, 0.382)
O (0.000, 0.311, 0.394)
O (0.000, 0.689, 0.894)



A relaxed La6Zn3Se crystal, computed with PBE.

The calculation puts the total magnetization at 0.00 μB/atom. The calculation puts the electronic total energy at -3.5133 eV/atom.

Unit cell a=8.140 b=8.140 c=8.140 alpha=118.74 beta=118.74 gamma=92.20
Element x y z (fractional)
La (0.167, 0.500, 0.667)
La (0.244, 0.244, 0.000)
La (0.500, 0.167, 0.667)
La (0.500, 0.833, 0.333)
La (0.756, 0.756, 0.000)
La (0.833, 0.500, 0.333)
Zn (0.000, 0.000, 0.000)
Zn (0.250, 0.750, 0.500)
Zn (0.750, 0.250, 0.500)
Se (0.500, 0.500, 0.000)



A relaxed Gd3Ir11 crystal, computed with PBE.

The calculation puts the total magnetization at 0.00 μB/atom. As for the energy of formation from the pure elements: -468.2 kJ/mol of formula units.

Unit cell a=8.055 b=8.055 c=8.055 alpha=148.94 beta=109.13 gamma=79.37
Element x y z (fractional)
Gd (0.000, 0.000, 0.000)
Gd (0.316, 0.316, 0.000)
Gd (0.684, 0.684, 0.000)
Ir (0.041, 0.671, 0.370)
Ir (0.142, 0.869, 0.273)
Ir (0.292, 0.500, 0.792)
Ir (0.301, 0.671, 0.630)
Ir (0.404, 0.131, 0.273)
Ir (0.500, 0.000, 0.500)
Ir (0.596, 0.869, 0.727)
Ir (0.699, 0.329, 0.370)
Ir (0.708, 0.500, 0.208)
Ir (0.858, 0.131, 0.727)
Ir (0.959, 0.329, 0.630)



A relaxed PmTlB crystal, computed with PBE.

The calculation puts the total magnetization at 0.00 μB/atom. As for the distance to the lowest polymorph of the same formula: 0.703 eV/atom.

Unit cell a=4.721 b=4.721 c=4.721 alpha=60.00 beta=60.00 gamma=60.00
Element x y z (fractional)
Pm (0.000, 0.000, 0.000)
Tl (0.750, 0.750, 0.750)
B (0.500, 0.500, 0.500)



A relaxed YPd2Se2 crystal, computed with PBE.

The calculation puts the total magnetization at 0.00 μB/atom. The calculation puts the electronic total energy at -5.1189 eV/atom.

Unit cell a=5.546 b=5.546 c=5.546 alpha=122.04 beta=122.04 gamma=86.50
Element x y z (fractional)
Y (0.000, 0.000, 0.000)
Pd (0.340, 0.340, 0.000)
Pd (0.660, 0.660, 0.000)
Se (0.000, 0.500, 0.500)
Se (0.500, 0.000, 0.500)



A relaxed Sr2Cu5F14 crystal, computed with PBE.

The calculation puts the electronic total energy at -4.4137 eV/atom.

Unit cell a=9.316 b=9.316 c=9.910 alpha=116.02 beta=116.02 gamma=40.17
Element x y z (fractional)
Sr (0.047, 0.285, 0.131)
Sr (0.285, 0.047, 0.631)
Sr (0.715, 0.953, 0.369)
Sr (0.953, 0.715, 0.869)
Cu (0.128, 0.872, 0.750)
Cu (0.208, 0.427, 0.504)
Cu (0.324, 0.599, 0.358)
Cu (0.401, 0.676, 0.142)
Cu (0.427, 0.208, 0.004)
Cu (0.573, 0.792, 0.996)
Cu (0.599, 0.324, 0.858)
Cu (0.676, 0.401, 0.642)
Cu (0.792, 0.573, 0.496)
Cu (0.872, 0.128, 0.250)
F (0.024, 0.744, 0.588)
F (0.028, 0.890, 0.356)
F (0.110, 0.972, 0.144)
F (0.136, 0.340, 0.886)
F (0.144, 0.410, 0.651)
F (0.216, 0.492, 0.355)
F (0.256, 0.976, 0.912)
F (0.272, 0.565, 0.101)
F (0.302, 0.622, 0.861)
F (0.340, 0.136, 0.386)
F (0.378, 0.698, 0.639)
F (0.410, 0.144, 0.151)
F (0.435, 0.728, 0.399)
F (0.492, 0.216, 0.855)
F (0.508, 0.784, 0.145)
F (0.565, 0.272, 0.601)
F (0.590, 0.856, 0.849)
F (0.622, 0.302, 0.361)
F (0.660, 0.864, 0.614)
F (0.698, 0.378, 0.139)
F (0.728, 0.435, 0.899)
F (0.744, 0.024, 0.088)
F (0.784, 0.508, 0.645)
F (0.856, 0.590, 0.349)
F (0.864, 0.660, 0.114)
F (0.890, 0.028, 0.856)
F (0.972, 0.110, 0.644)
F (0.976, 0.256, 0.412)



A relaxed AlPd3 crystal, computed with PBE.

The calculation puts the electronic total energy at -5.4314 eV/atom.

Unit cell a=5.579 b=5.579 c=4.427 alpha=90.00 beta=90.00 gamma=120.00
Element x y z (fractional)
Al (0.333, 0.667, 0.250)
Al (0.667, 0.333, 0.750)
Pd (0.169, 0.338, 0.750)
Pd (0.169, 0.831, 0.750)
Pd (0.338, 0.169, 0.250)
Pd (0.662, 0.831, 0.750)
Pd (0.831, 0.169, 0.250)
Pd (0.831, 0.662, 0.250)



A relaxed Pa2CSeS crystal, computed with PBE.

The calculation puts the total magnetization at 0.00 μB/atom. The calculation puts the electronic total energy at -8.1819 eV/atom.

Unit cell a=3.788 b=3.788 c=10.125 alpha=90.00 beta=90.00 gamma=120.00
Element x y z (fractional)
Pa (0.000, 0.000, 0.000)
Pa (0.333, 0.667, 0.269)
C (0.667, 0.333, 0.135)
Se (0.333, 0.667, 0.822)
S (0.000, 0.000, 0.426)



A relaxed MgNbCuAs crystal, computed with PBE.

The calculation puts the total magnetization at 0.02 μB/atom. As for the distance to the lowest polymorph of the same formula: 0.000 eV/atom.

Unit cell a=4.516 b=4.516 c=4.516 alpha=60.00 beta=60.00 gamma=60.00
Element x y z (fractional)
Mg (0.000, 0.000, 0.000)
Nb (0.250, 0.250, 0.250)
Cu (0.750, 0.750, 0.750)
As (0.500, 0.500, 0.500)



A relaxed AcPaAsO crystal, computed with PBE.

The calculation puts the total magnetization at 0.36 μB/atom. As for the distance to the lowest polymorph of the same formula: 0.591 eV/atom.

Unit cell a=4.390 b=8.113 c=6.420 alpha=90.00 beta=90.00 gamma=90.00
Element x y z (fractional)
Ac (0.000, 0.209, 0.000)
Ac (0.000, 0.791, 0.500)
Pa (0.500, 0.398, 0.536)
Pa (0.500, 0.602, 0.036)
As (0.000, 0.167, 0.505)
As (0.000, 0.833, 0.005)
O (0.500, 0.340, 0.901)
O (0.500, 0.660, 0.401)



A relaxed LiPdW2 crystal, computed with PBE.

The calculation puts the total magnetization at 0.00 μB/atom. The calculation puts the electronic total energy at -7.8903 eV/atom.

Unit cell a=4.402 b=4.402 c=4.402 alpha=60.00 beta=60.00 gamma=60.00
Element x y z (fractional)
Li (0.000, 0.000, 0.000)
Pd (0.250, 0.250, 0.250)
W (0.500, 0.500, 0.500)
W (0.750, 0.750, 0.750)



A relaxed SrLuBeAu crystal, computed with PBE.

The calculation puts the total magnetization at 0.00 μB/atom. As for the distance to the lowest polymorph of the same formula: 0.000 eV/atom.

Unit cell a=5.101 b=5.101 c=5.101 alpha=60.00 beta=60.00 gamma=60.00
Element x y z (fractional)
Sr (0.000, 0.000, 0.000)
Lu (0.500, 0.500, 0.500)
Be (0.750, 0.750, 0.750)
Au (0.250, 0.250, 0.250)



A relaxed Cs2OsSe2S crystal, computed with PBE.

The calculation puts the total magnetization at 0.33 μB/atom. The calculation puts the electronic total energy at -4.6155 eV/atom.

Unit cell a=8.003 b=8.003 c=10.340 alpha=119.06 beta=119.06 gamma=54.55
Element x y z (fractional)
Cs (0.083, 0.083, 0.358)
Cs (0.305, 0.305, 0.187)
Cs (0.695, 0.695, 0.813)
Cs (0.917, 0.917, 0.642)
Os (0.403, 0.403, 0.850)
Os (0.597, 0.597, 0.150)
Se (0.211, 0.211, 0.770)
Se (0.385, 0.385, 0.607)
Se (0.615, 0.615, 0.393)
Se (0.789, 0.789, 0.230)
S (0.259, 0.741, 0.000)
S (0.741, 0.259, 0.000)